# NaCd2BrN

A crystal of NaCd2BrN relaxed with PBEsol (meta-GGA SCAN, Alexandria via LeMat-Bulk).

extended XYZ file:
```
5
Lattice="-3.305 2.421 -1.117 -2.518 -2.248 2.577 1.753 5.326 6.360" Properties=species:S:1:pos:R:3 pbc="T T T"
N 0.000 0.000 0.000
Br 0.876 2.663 3.180
Cd -1.652 1.211 -0.558
Cd -1.259 -1.124 1.288
Na -2.035 2.749 3.910
```

Output
* spin magnetization: 0.00 μB per cell
* energy relative to the elements, uncorrected: -99 meV per atom
* volume: 152.89 Å³/f.u.

---

# CdRuBr2N

A crystal of CdRuBr2N relaxed with PBEsol (meta-GGA SCAN, Alexandria via LeMat-Bulk).

extended XYZ file:
```
5
Lattice="4.283 0.000 0.000 0.000 4.701 0.000 0.000 0.000 4.701" Properties=species:S:1:pos:R:3 pbc="T T T"
Cd 2.142 0.000 0.000
Br 0.000 2.351 0.000
Br 0.000 0.000 2.351
Ru 2.142 2.351 2.351
N 0.000 0.000 0.000
```

Output
* spin magnetization: 2.96 μB per cell
* energy relative to the elements, uncorrected: 1265 meV per atom
* volume: 94.67 Å³/f.u.

---

# CdTeBrN2

A crystal of CdTeBrN2 relaxed with PBEsol (meta-GGA SCAN, Alexandria via LeMat-Bulk).

extended XYZ file:
```
5
Lattice="-1.742 -2.757 2.244 2.899 -2.547 -0.879 3.854 2.355 5.885" Properties=species:S:1:pos:R:3 pbc="T T T"
Br 0.000 0.000 0.000
N 1.450 -1.274 -0.440
N -0.871 -1.378 1.122
Cd 2.506 -1.475 3.625
Te 1.927 1.178 2.943
```

Output
* distance to the lowest polymorph of the same formula: 0.452 eV/atom
* spin magnetization: 2.80 μB per cell
* energy relative to the elements, uncorrected: 1894 meV per atom
* volume: 116.24 Å³/f.u.